(1)
Here is crystalline CaAl2Cl at its relaxed geometry from Alexandria via LeMat-Bulk. Energies are from PBE.

Unit cell a=3.4496 b=4.2731 c=6.4513 alpha=90.00 beta=90.00 gamma=90.00
Last column: nearest neighbours and their distance in Å.
Positions (direct):
Ca  0.0000  0.0000  0.0000  4 Cl 2.75
Al  0.0000  0.5000  0.5000  4 Al 2.75
Al  0.5000  0.0000  0.5000  4 Al 2.75
Cl  0.5000  0.5000  0.0000  4 Ca 2.75

Results
Calculated density, g cm⁻³: 2.261
Formation energy without anion corrections, eV/atom: -0.57
Distance to the lowest polymorph of the same formula, eV per atom: 0.0276
Total magnetization, μB per formula unit: 0.0

***

(2)
Here is crystalline Ca2AlCl at its relaxed geometry from Alexandria via LeMat-Bulk. Energies are from PBE.

Unit cell a=12.2758 b=3.6741 c=5.0137 alpha=90.00 beta=90.03 gamma=90.00
Last column: nearest neighbours and their distance in Å.
Positions (direct):
Ca  0.0000  0.0000  0.0000  4 Cl 3.10-3.12, 3 Al 3.30-3.38
Ca  0.2359  0.5000  0.4995  1 Cl 2.74
Ca  0.5000  0.5000  0.0000  4 Cl 3.10-3.12, 3 Al 3.30-3.38
Ca  0.7359  0.0000  0.4995  1 Cl 2.74
Al  0.2688  0.0000  0.9993  7 Ca 3.13-3.38
Al  0.7688  0.5000  0.9993  7 Ca 3.13-3.38
Cl  0.0124  0.5000  0.4981  1 Ca 2.74
Cl  0.5124  0.0000  0.4981  1 Ca 2.74

Results
Calculated density, g cm⁻³: 2.094
Formation energy without anion corrections, eV/atom: -0.75
Distance to the lowest polymorph of the same formula, eV per atom: 0.1897
Total magnetization, μB per formula unit: 0.8

***

(3)
Here is crystalline Ca2AlCl at its relaxed geometry from Alexandria via LeMat-Bulk. Energies are from PBE.

Unit cell a=3.5350 b=3.5350 c=8.2549 alpha=90.00 beta=90.00 gamma=90.00
Last column: nearest neighbours and their distance in Å.
Positions (direct):
Ca  0.0000  0.0000  0.2390  4 Al 3.18, 4 Cl 3.30, 4 Ca 3.54
Ca  0.0000  0.0000  0.7610  4 Al 3.18, 4 Cl 3.30, 4 Ca 3.54
Al  0.5000  0.5000  0.0000  8 Ca 3.18, 4 Al 3.54
Cl  0.5000  0.5000  0.5000  8 Ca 3.30, 4 Cl 3.54

Results
Calculated density, g cm⁻³: 2.295
Formation energy without anion corrections, eV/atom: -0.85
Distance to the lowest polymorph of the same formula, eV per atom: 0.0915
Total magnetization, μB per formula unit: 0.0

***

(4)
Here is crystalline CaAlCl2 at its relaxed geometry from Alexandria via LeMat-Bulk. Energies are from PBE.

Unit cell a=4.1985 b=5.6819 c=9.0743 alpha=90.00 beta=90.00 gamma=90.00
Last column: nearest neighbours and their distance in Å.
Positions (direct):
Ca  0.0000  0.0000  0.0000  2 Cl 2.62
Ca  0.5000  0.5000  0.0000  2 Cl 2.62
Al  0.0000  0.5000  0.2543  2 Cl 2.59
Al  0.5000  0.0000  0.2543  2 Cl 2.59
Cl  0.0000  0.0000  0.4209  2 Al 2.59
Cl  0.0000  0.5000  0.8271  2 Ca 2.62
Cl  0.5000  0.0000  0.8271  2 Ca 2.62
Cl  0.5000  0.5000  0.4209  2 Al 2.59

Results
Calculated density, g cm⁻³: 2.117
Formation energy without anion corrections, eV/atom: -1.06
Distance to the lowest polymorph of the same formula, eV per atom: 0.1938
Total magnetization, μB per formula unit: 0.0

***

(5)
Here is crystalline CaAlCl2 at its relaxed geometry from Alexandria via LeMat-Bulk. Energies are from PBE.

Unit cell a=7.2558 b=7.2558 c=7.2558 alpha=90.00 beta=90.00 gamma=90.00
Last column: nearest neighbours and their distance in Å.
Positions (direct):
Ca  0.0000  0.0000  0.0000  8 Cl 3.14
Ca  0.0000  0.5000  0.5000  8 Cl 3.14
Ca  0.5000  0.0000  0.5000  8 Cl 3.14
Ca  0.5000  0.5000  0.0000  8 Cl 3.14
Al  0.0000  0.0000  0.5000  8 Cl 3.14
Al  0.0000  0.5000  0.0000  8 Cl 3.14
Al  0.5000  0.0000  0.0000  8 Cl 3.14
Al  0.5000  0.5000  0.5000  8 Cl 3.14
Cl  0.2500  0.2500  0.2500  4 Ca 3.14, 4 Al 3.14
Cl  0.2500  0.2500  0.7500  4 Al 3.14, 4 Ca 3.14
Cl  0.2500  0.7500  0.2500  4 Al 3.14, 4 Ca 3.14
Cl  0.2500  0.7500  0.7500  4 Ca 3.14, 4 Al 3.14
Cl  0.7500  0.2500  0.2500  4 Al 3.14, 4 Ca 3.14
Cl  0.7500  0.2500  0.7500  4 Ca 3.14, 4 Al 3.14
Cl  0.7500  0.7500  0.2500  4 Ca 3.14, 4 Al 3.14
Cl  0.7500  0.7500  0.7500  4 Al 3.14, 4 Ca 3.14

Results
Calculated density, g cm⁻³: 2.399
Formation energy without anion corrections, eV/atom: -0.90
Distance to the lowest polymorph of the same formula, eV per atom: 0.3533
Total magnetization, μB per formula unit: 0.0

***

(6)
Here is crystalline CaAlCl2 at its relaxed geometry from Alexandria via LeMat-Bulk. Energies are from PBE.

Unit cell a=7.3668 b=7.3668 c=7.3668 alpha=90.00 beta=90.00 gamma=90.00
Last column: nearest neighbours and their distance in Å.
Positions (direct):
Ca  0.0000  0.0000  0.0000  4 Cl 3.19, 4 Al 3.19
Ca  0.0000  0.5000  0.5000  4 Cl 3.19, 4 Al 3.19
Ca  0.5000  0.0000  0.5000  4 Cl 3.19, 4 Al 3.19
Ca  0.5000  0.5000  0.0000  4 Cl 3.19, 4 Al 3.19
Al  0.2500  0.2500  0.2500  4 Cl 3.19, 4 Ca 3.19
Al  0.2500  0.7500  0.7500  4 Cl 3.19, 4 Ca 3.19
Al  0.7500  0.2500  0.7500  4 Cl 3.19, 4 Ca 3.19
Al  0.7500  0.7500  0.2500  4 Cl 3.19, 4 Ca 3.19
Cl  0.0000  0.0000  0.5000  4 Cl 3.19, 4 Al 3.19
Cl  0.0000  0.5000  0.0000  4 Cl 3.19, 4 Al 3.19
Cl  0.2500  0.2500  0.7500  4 Cl 3.19, 4 Ca 3.19
Cl  0.2500  0.7500  0.2500  4 Cl 3.19, 4 Ca 3.19
Cl  0.5000  0.0000  0.0000  4 Cl 3.19, 4 Al 3.19
Cl  0.5000  0.5000  0.5000  4 Cl 3.19, 4 Al 3.19
Cl  0.7500  0.2500  0.2500  4 Cl 3.19, 4 Ca 3.19
Cl  0.7500  0.7500  0.7500  4 Cl 3.19, 4 Ca 3.19

Results
Calculated density, g cm⁻³: 2.292
Formation energy without anion corrections, eV/atom: -0.57
Distance to the lowest polymorph of the same formula, eV per atom: 0.6794
Total magnetization, μB per formula unit: 0.5

***

(7)
Here is crystalline CaAlCl2 at its relaxed geometry from Alexandria via LeMat-Bulk. Energies are from PBE.

Unit cell a=3.3699 b=3.3699 c=11.4756 alpha=90.00 beta=90.00 gamma=90.00
Last column: nearest neighbours and their distance in Å.
Positions (direct):
Ca  0.0000  0.0000  0.0000  8 Cl 2.86
Al  0.0000  0.0000  0.5000  4 Al 3.37
Cl  0.5000  0.5000  0.1379  4 Ca 2.86, 1 Cl 3.17
Cl  0.5000  0.5000  0.8621  4 Ca 2.86, 1 Cl 3.17

Results
Calculated density, g cm⁻³: 1.758
Formation energy without anion corrections, eV/atom: -1.16
Distance to the lowest polymorph of the same formula, eV per atom: 0.0963
Total magnetization, μB per formula unit: 0.0

***

(8)
Here is crystalline CaAlCl2 at its relaxed geometry from Alexandria via LeMat-Bulk. Energies are from PBE.

Unit cell a=3.9009 b=3.9009 c=29.8725 alpha=90.00 beta=90.00 gamma=120.00
Last column: nearest neighbours and their distance in Å.
Positions (direct):
Ca  0.0000  0.0000  0.0000  6 Cl 2.72
Ca  0.3333  0.6667  0.6667  6 Cl 2.72
Ca  0.6667  0.3333  0.3333  6 Cl 2.72
Al  0.0000  0.0000  0.5000  2 Cl 3.46
Al  0.3333  0.6667  0.1667  2 Cl 3.46
Al  0.6667  0.3333  0.8333  2 Cl 3.46
Cl  0.0000  0.0000  0.3843  3 Ca 2.72
Cl  0.0000  0.0000  0.6157  3 Ca 2.72
Cl  0.3333  0.6667  0.0510  3 Ca 2.72
Cl  0.3333  0.6667  0.2824  3 Ca 2.72
Cl  0.6667  0.3333  0.7176  3 Ca 2.72
Cl  0.6667  0.3333  0.9490  3 Ca 2.72

Results
Calculated density, g cm⁻³: 1.746
Formation energy without anion corrections, eV/atom: -1.25
Distance to the lowest polymorph of the same formula, eV per atom: 0.0000
Total magnetization, μB per formula unit: 0.0

***

(9)
Here is crystalline CaAl2Cl at its relaxed geometry from Alexandria via LeMat-Bulk. Energies are from PBE.

Unit cell a=3.4168 b=3.4168 c=27.7217 alpha=90.00 beta=90.00 gamma=120.00
Last column: nearest neighbours and their distance in Å.
Positions (direct):
Ca  0.0000  0.0000  0.0000  6 Al 3.21, 6 Ca 3.42
Ca  0.3333  0.6667  0.6667  6 Al 3.21, 6 Ca 3.42
Ca  0.6667  0.3333  0.3333  6 Al 3.21, 6 Ca 3.42
Al  0.0000  0.0000  0.2421  3 Cl 2.87, 3 Ca 3.21
Al  0.0000  0.0000  0.7579  3 Cl 2.87, 3 Ca 3.21
Al  0.3333  0.6667  0.4246  3 Cl 2.87, 3 Ca 3.21
Al  0.3333  0.6667  0.9088  3 Cl 2.87, 3 Ca 3.21
Al  0.6667  0.3333  0.0912  3 Cl 2.87, 3 Ca 3.21
Al  0.6667  0.3333  0.5754  3 Cl 2.87, 3 Ca 3.21
Cl  0.0000  0.0000  0.5000  6 Al 2.87
Cl  0.3333  0.6667  0.1667  6 Al 2.87
Cl  0.6667  0.3333  0.8333  6 Al 2.87

Results
Calculated density, g cm⁻³: 2.302
Formation energy without anion corrections, eV/atom: -0.06
Distance to the lowest polymorph of the same formula, eV per atom: 0.5363
Total magnetization, μB per formula unit: 0.0

***

(10)
Here is crystalline Ca2AlCl8 at its relaxed geometry from Alexandria via LeMat-Bulk. Energies are from PBE.

Unit cell a=7.7597 b=7.7597 c=5.4740 alpha=102.68 beta=102.68 gamma=84.74
Last column: nearest neighbours and their distance in Å.
Positions (direct):
Ca  0.2262  0.2262  0.1267  6 Cl 2.66-2.93
Ca  0.7738  0.7738  0.8733  6 Cl 2.66-2.93
Al  0.5000  0.5000  0.0000  6 Cl 2.32-2.44
Cl  0.0020  0.0020  0.2536  2 Cl 2.71-2.76, 2 Ca 2.82-2.86
Cl  0.2531  0.5734  0.1839  1 Al 2.32
Cl  0.3043  0.3043  0.6633  1 Al 2.44
Cl  0.4266  0.7469  0.8161  1 Al 2.32
Cl  0.5734  0.2531  0.1839  1 Al 2.32
Cl  0.6957  0.6957  0.3367  1 Al 2.44
Cl  0.7469  0.4266  0.8161  1 Al 2.32
Cl  0.9980  0.9980  0.7464  2 Cl 2.71-2.76, 2 Ca 2.82-2.86

Results
Calculated density, g cm⁻³: 2.071
Formation energy without anion corrections, eV/atom: -1.71
Total magnetization, μB per formula unit: 0.0